[1]
A plane-wave DFT calculation with meta-GGA SCAN was carried out for a PBEsol-optimized structure of K2LaAs.

Lattice parameters (Å, degrees): 4.5559 4.5559 6.5326 90.00 90.00 94.14
Last column: nearest neighbours and their distance in Å.
Sites, in units of the cell vectors:
1 As 0.0000 0.0000 0.5000  4 La 3.10-3.34
2 K 0.7837 0.2163 0.0000  3 K 2.89-3.14
3 K 0.2163 0.7837 0.0000  3 K 2.89-3.14
4 La 0.5000 0.5000 0.5000  4 As 3.10-3.34


[2]
A plane-wave DFT calculation with meta-GGA SCAN was carried out for a PBEsol-optimized structure of KLa2As.

Lattice parameters (Å, degrees): 3.9058 3.9972 11.0092 100.46 100.22 90.00
Last column: nearest neighbours and their distance in Å.
Sites, in units of the cell vectors:
1 As 0.4560 0.4560 0.9121  6 La 2.95-2.98
2 K 0.1864 0.6864 0.3727  4 K 3.91-4.00, 2 La 4.35
3 La 0.0050 0.0050 0.0101  4 As 2.98
4 La 0.8525 0.3525 0.7051  2 As 2.95


[3]
A plane-wave DFT calculation with meta-GGA SCAN was carried out for a PBEsol-optimized structure of KLa2As.

Lattice parameters (Å, degrees): 3.7386 3.7389 10.6882 90.00 90.19 90.00
Last column: nearest neighbours and their distance in Å.
Sites, in units of the cell vectors:
1 As 0.5000 0.5000 0.0000  8 La 3.10-3.11
2 K 0.5000 0.5000 0.5000  4 K 3.74
3 La 0.0016 0.0000 0.8477  4 As 3.10-3.11, 1 La 3.26
4 La 0.9984 0.0000 0.1523  4 As 3.10-3.11, 1 La 3.26


[4]
A plane-wave DFT calculation with meta-GGA SCAN was carried out for a PBEsol-optimized structure of KLaAs4.

Lattice parameters (Å, degrees): 5.7525 5.7525 5.7525 60.00 60.00 60.00
Last column: nearest neighbours and their distance in Å.
Sites, in units of the cell vectors:
1 As 0.3754 0.3754 0.3754  6 As 2.87-2.89
2 As 0.3754 0.3754 0.8738  6 As 2.87-2.89
3 As 0.8738 0.3754 0.3754  6 As 2.87-2.89
4 As 0.3754 0.8738 0.3754  6 As 2.87-2.89
5 K 0.7500 0.7500 0.7500  12 As 3.37, 4 La 3.52
6 La 0.0000 0.0000 0.0000  12 As 3.37, 4 K 3.52


[5]
A plane-wave DFT calculation with meta-GGA SCAN was carried out for a PBEsol-optimized structure of KLa2As.

Lattice parameters (Å, degrees): 3.5364 6.1172 6.3605 117.29 103.84 94.63
Last column: nearest neighbours and their distance in Å.
Sites, in units of the cell vectors:
1 As 0.5000 0.0000 0.0000  4 La 3.25, 2 K 3.41, 2 As 3.54
2 K 0.0000 0.5000 0.0000  4 La 3.25, 2 As 3.41, 2 K 3.54
3 La 0.0000 0.0000 0.5000  2 K 3.25, 2 As 3.25, 4 La 3.41-3.54
4 La 0.5000 0.5000 0.5000  2 As 3.25, 2 K 3.25, 4 La 3.41-3.54


[6]
A plane-wave DFT calculation with meta-GGA SCAN was carried out for a PBEsol-optimized structure of KLa2As.

Lattice parameters (Å, degrees): 4.0514 4.0514 8.7257 90.00 90.00 90.00
Last column: nearest neighbours and their distance in Å.
Sites, in units of the cell vectors:
1 As 0.0000 0.0000 0.4197  5 La 2.94-3.05
2 K 0.5000 0.5000 0.6967  1 La 3.45, 4 As 3.75
3 La 0.0000 0.0000 0.0823  1 As 2.94
4 La 0.5000 0.5000 0.3013  4 As 3.05


How do the records compare in E_tot? In the order shown, they have -81.08 -116.90 -116.98 -135.23 -115.31 -117.01 eV per formula unit.
How do the records compare in ΔH_f (0 K)? In the order shown, they have -1.1 -2.2 -2.3 -3.0 -0.6 -2.3 eV per formula unit.